The following is a PBE calculation of a relaxed structure of AcTbNdEr, from Alexandria.

Energy relative to the elements, eV/atom: 0.114
E_tot, eV per atom: -4.403
Magnetization, μB per cell: 0.0
Offset from the most stable computed form, meV per atom: 63
Fermi-level density of states, states/eV per atom: 1.844

Lattice parameters (Å, degrees): 8.295 8.295 8.295 90.00 90.00 90.00
Space group F-43m (No. 216)
Symmetry-distinct sites (fractional):
1 Ac 0.000 0.000 0.000 x4
2 Tb 0.250 0.250 0.750 x4
3 Nd 0.000 0.000 0.500 x4
4 Er 0.250 0.250 0.250 x4